(1)
Mn2NbHIr, optimized geometry, DFT GGA-PBE; space-group type = No. 123; energy = -8.291 eV per atom; distance to the lowest polymorph of the same formula = 0.000 eV/atom; spin magnetization = 2.9 μB/cell
1.0
-0.762 -3.462 -1.360
2.211 0.695 -3.007
3.141 -1.466 1.970
H Nb Ir Mn
1 1 1 2
direct
0.000 0.000 0.000 H
0.000 0.000 0.500 Nb
0.500 0.500 0.500 Ir
0.000 0.500 0.000 Mn
0.500 0.000 0.000 Mn



(2)
NdMnH8Ir2, optimized geometry, DFT GGA-PBE; space-group type = No. 166; energy = -5.044 eV per atom; spin magnetization = 3.6 μB/cell
1.0
4.705 0.000 0.000
2.353 4.075 0.000
2.353 1.358 5.323
Nd Mn H Ir
1 1 8 2
direct
0.500 0.500 0.500 Nd
0.000 0.000 0.000 Mn
0.183 0.183 0.450 H
0.627 0.056 0.260 H
0.817 0.817 0.550 H
0.056 0.627 0.260 H
0.944 0.373 0.740 H
0.056 0.056 0.260 H
0.944 0.944 0.740 H
0.373 0.944 0.740 H
0.286 0.286 0.141 Ir
0.714 0.714 0.859 Ir



(3)
MnNi2HIr, optimized geometry, DFT GGA-PBE; space-group type = No. 123; energy = -6.635 eV per atom; distance to the lowest polymorph of the same formula = 0.013 eV/atom; spin magnetization = 3.7 μB/cell
1.0
3.654 0.000 0.000
0.000 3.654 0.000
0.000 0.000 3.830
Ni Ir Mn H
2 1 1 1
direct
0.000 0.500 0.000 Ni
0.500 0.000 0.000 Ni
0.500 0.500 0.500 Ir
0.000 0.000 0.500 Mn
0.000 0.000 0.000 H



(4)
MnNi2HIr, optimized geometry, DFT GGA-PBE; space-group type = No. 123; energy = -6.648 eV per atom; distance to the lowest polymorph of the same formula = 0.000 eV/atom; spin magnetization = 4.1 μB/cell
1.0
-3.029 1.222 1.764
-2.034 -2.606 -1.688
0.698 -2.395 2.856
Ni Ir Mn H
2 1 1 1
direct
0.000 0.500 0.000 Ni
0.500 0.000 0.000 Ni
0.000 0.000 0.500 Ir
0.500 0.500 0.500 Mn
0.000 0.000 0.000 H



(5)
MnNiHIr2, optimized geometry, DFT GGA-PBE; space-group type = No. 123; energy = -7.232 eV per atom; distance to the lowest polymorph of the same formula = 0.000 eV/atom; spin magnetization = 3.7 μB/cell
1.0
-1.667 1.653 3.114
-3.493 -1.242 -1.210
0.450 -3.110 1.892
Ni Ir Mn H
1 2 1 1
direct
0.000 0.000 0.500 Ni
0.000 0.500 0.000 Ir
0.500 0.000 0.000 Ir
0.500 0.500 0.500 Mn
0.000 0.000 0.000 H



(6)
Mn2NiHIr, optimized geometry, DFT GGA-PBE; space-group type = No. 123; energy = -7.171 eV per atom; distance to the lowest polymorph of the same formula = 0.137 eV/atom; spin magnetization = 0.0 μB/cell
1.0
3.627 0.000 0.000
0.000 3.627 0.000
0.000 0.000 3.767
Ni Ir Mn H
1 1 2 1
direct
0.500 0.500 0.500 Ni
0.000 0.000 0.500 Ir
0.000 0.500 0.000 Mn
0.500 0.000 0.000 Mn
0.000 0.000 0.000 H



(7)
MnNiHIr2, optimized geometry, DFT GGA-PBE; space-group type = No. 123; energy = -7.191 eV per atom; distance to the lowest polymorph of the same formula = 0.040 eV/atom; spin magnetization = 3.7 μB/cell
1.0
-1.169 -1.003 -3.540
3.678 -0.385 -1.105
-0.064 -3.599 1.041
Ni Ir Mn H
1 2 1 1
direct
0.500 0.500 0.500 Ni
0.000 0.500 0.000 Ir
0.500 0.000 0.000 Ir
0.000 0.000 0.500 Mn
0.000 0.000 0.000 H



(8)
Mn2NiHIr, optimized geometry, DFT GGA-PBE; space-group type = No. 123; energy = -7.308 eV per atom; distance to the lowest polymorph of the same formula = 0.000 eV/atom; spin magnetization = 4.4 μB/cell
1.0
-3.665 0.417 0.370
-0.470 -3.636 -0.553
0.300 -0.592 3.641
Ni Ir Mn H
1 1 2 1
direct
0.000 0.000 0.500 Ni
0.500 0.500 0.500 Ir
0.000 0.500 0.000 Mn
0.500 0.000 0.000 Mn
0.000 0.000 0.000 H



(9)
Mn2HIrOs, optimized geometry, DFT GGA-PBE; space-group type = No. 123; energy = -8.311 eV per atom; distance to the lowest polymorph of the same formula = 0.017 eV/atom; spin magnetization = 1.3 μB/cell
1.0
3.774 0.000 0.000
0.000 3.774 0.000
0.000 0.000 3.731
H Ir Os Mn
1 1 1 2
direct
0.000 0.000 0.000 H
0.000 0.000 0.500 Ir
0.500 0.500 0.500 Os
0.000 0.500 0.000 Mn
0.500 0.000 0.000 Mn



(10)
Mn2HIrOs, optimized geometry, DFT GGA-PBE; space-group type = No. 123; energy = -8.328 eV per atom; distance to the lowest polymorph of the same formula = 0.000 eV/atom; spin magnetization = 1.9 μB/cell
1.0
-0.124 3.583 1.170
-3.765 -0.059 -0.216
-0.187 -1.172 3.567
H Ir Os Mn
1 1 1 2
direct
0.000 0.000 0.000 H
0.500 0.500 0.500 Ir
0.000 0.000 0.500 Os
0.000 0.500 0.000 Mn
0.500 0.000 0.000 Mn



(11)
MnHIrOs2, optimized geometry, DFT GGA-PBE; space-group type = No. 123; energy = -8.657 eV per atom; spin magnetization = 1.6 μB/cell
1.0
3.855 0.000 0.000
0.000 3.855 0.000
0.000 0.000 3.862
H Ir Os Mn
1 1 2 1
direct
0.000 0.000 0.000 H
0.500 0.500 0.500 Ir
0.000 0.500 0.000 Os
0.500 0.000 0.000 Os
0.000 0.000 0.500 Mn



(12)
MnPHIr2, optimized geometry, DFT GGA-PBE; space-group type = No. 123; energy = -6.371 eV per atom; spin magnetization = 2.5 μB/cell
1.0
-0.399 -0.682 4.600
1.815 -2.331 -0.188
3.666 2.794 0.733
P Ir Mn H
1 2 1 1
direct
0.500 0.500 0.500 P
0.000 0.000 0.500 Ir
0.500 0.000 0.000 Ir
0.000 0.000 0.000 Mn
0.000 0.500 0.000 H